Arrangement i

This record from Alexandria describes an optimized crystal structure of Pm2Sc3Pb4. The functional is PBE.

The structure in POSCAR format:
```
Pm2Sc3Pb4
1.0
7.949 -0.164 0.000
-2.760 7.647 0.000
0.000 0.000 8.131
Sc Pm Pb
6 4 8
Cartesian
-1.380 3.823 4.066
3.948 5.626 2.808
-0.027 5.708 1.257
1.242 1.856 5.323
5.216 1.774 6.874
2.595 3.741 0.000
5.278 6.025 6.681
1.303 6.107 5.516
3.886 1.376 2.615
-0.089 1.458 1.451
5.443 3.675 1.153
-1.234 6.938 3.683
-0.254 3.807 6.979
2.449 0.627 7.748
3.721 3.725 5.218
1.469 3.758 2.913
6.423 0.545 4.449
2.741 6.856 0.383
```

Arrangement ii

This record from Alexandria describes an optimized crystal structure of Pm2Sc3Pb4. The functional is PBE.

The structure in POSCAR format:
```
Pm2Sc3Pb4
1.0
6.783 0.000 0.000
0.000 8.736 0.000
-3.391 0.000 8.435
Sc Pb Pm
6 8 4
Cartesian
-1.696 6.552 4.914
1.696 6.552 4.914
3.391 4.368 0.000
0.000 0.000 0.000
5.087 2.184 3.521
1.696 2.184 3.521
5.087 2.184 0.597
1.696 2.184 0.597
-1.696 6.552 7.838
3.391 4.831 3.147
0.000 3.905 5.288
0.000 8.273 3.147
3.391 0.463 5.288
1.696 6.552 7.838
0.000 5.129 1.922
3.391 3.607 6.513
0.000 0.761 6.513
3.391 7.975 1.922
```

Compare the structures above. Which one is the most stable? arrangement i is.